PrPaPb2O8: optimized geometry, PBE-GGA.

Properties
- Crystal system: tetragonal
- Total energy: -7.160 eV/atom
- Symmetry: I-4m2
- Uncorrected formation energy: -24.56 eV/f.u.

Unit cell a=6.3729 b=6.3729 c=6.3729 alpha=108.91 beta=108.91 gamma=110.61
Atoms (fractional coordinates):
Pr 0.0000 0.0000 0.0000
Pa 0.2500 0.7500 0.5000
Pb 0.5000 0.5000 0.0000
Pb 0.7500 0.2500 0.5000
O 0.2951 0.0972 0.8021
O 0.2951 0.4931 0.1979
O 0.3501 0.0277 0.3225
O 0.5069 0.7049 0.8021
O 0.7052 0.0277 0.6775
O 0.9028 0.7049 0.1979
O 0.9723 0.2948 0.3225
O 0.9723 0.6499 0.6775